1.
The following is a PBE calculation of a geometry-optimized Cu2IrBr structure, from the Alexandria database.

The space group is Pm (No. 6) and the conventional cell measures 2.988, 3.789 and 6.209 Å, with angles of 90.00, 103.73 and 90.00 degrees. Symmetry generates all atoms from Cu at (0.000, 0.000, 0.000), Cu at (0.133, 0.500, 0.249), Ir at (0.441, 0.500, 0.878) and Br at (0.275, 0.000, 0.544).

For the total energy, the calculation gives -4.153 eV/atom. The calculation puts the density of states at the Fermi level at 3.33 states/eV/f.u. The calculation puts the formation energy without anion corrections at 529 meV per atom. Its mass density is 9708 kg/m3. The value obtained for the excess energy over the best structure of this formula in the dataset is 130.7 meV per atom.

2.
The following is a PBE calculation of a geometry-optimized Pr3HoSb4 structure, from the Alexandria database.

The space group is Cmmm (No. 65) and the conventional cell measures 9.020, 12.760 and 4.516 Å, with angles of 90.00, 90.00 and 90.00 degrees. Symmetry generates all atoms from Pr at (0.000, 0.000, 0.000), Pr at (0.250, 0.250, 0.500), Ho at (0.000, 0.500, 0.000), Sb at (0.000, 0.254, 0.000) and Sb at (0.242, 0.500, 0.500).

For the total energy, the calculation gives -5.590 eV/atom. The calculation puts the density of states at the Fermi level at 0.94 states/eV/f.u. The calculation puts the formation energy without anion corrections at -1164 meV per atom. Its mass density is 6868 kg/m3.

3.
The following is a PBE calculation of a geometry-optimized VPdPt2C structure, from the Alexandria database.

The space group is P4/mmm (No. 123) and the conventional cell measures 4.982, 4.982 and 3.635 Å, with angles of 90.00, 90.00 and 90.00 degrees. Symmetry generates all atoms from V at (0.000, 0.000, 0.000), Pd at (0.500, 0.500, 0.500), Pt at (0.000, 0.500, 0.500) and C at (0.500, 0.500, 0.000).

For the total energy, the calculation gives -5.588 eV/atom. The calculation puts the density of states at the Fermi level at 8.45 states/eV/f.u. Its mass density is 10297 kg/m3.